! Cs2K4Zn2O5 PBE optimized geometry; values from VASP
&SYSTEM
  ibrav = 0, nat = 13, ntyp = 4
/
ATOMIC_SPECIES
O 16.00 O.upf
Cs 132.91 Cs.upf
K 39.10 K.upf
Zn 65.41 Zn.upf
CELL_PARAMETERS angstrom
0.3271 5.0831 4.3547
-2.4827 1.3065 -6.0858
-6.3077 -1.5577 2.2610
ATOMIC_POSITIONS angstrom
O -5.6360 0.1915 -0.4062
O -4.8068 1.3061 2.6749
O -3.6566 3.5258 -2.1450
O -2.8274 4.6404 0.9361
O 0.0000 0.0000 0.0000
Cs -5.8587 3.2052 0.4173
Cs -2.6047 1.6267 0.1126
K -0.3258 4.2056 1.9288
K -3.4514 3.4646 3.1641
K -1.8299 2.1840 -3.6599
K -5.0119 1.3673 -2.6342
Zn -2.9386 4.7860 -0.9404
Zn -5.5248 0.0459 1.4703
! raw total energy	-49.82	eV for the cell shown
! symmetry	C2/m, No. 12